Here is an optimized crystal structure of PmYEr2 from Alexandria. Energies are from PBE-GGA.

Output
Energy relative to the elements in eV/f.u.: 0.08
Relative energy among the computed polymorphs in meV/atom: 5.6
SG: R3m, No. 160

Lattice parameters (Å, degrees): 3.5839 3.5839 11.6883 81.18 81.18 60.00
Positions (direct):
Er (0.0825, 0.0825, 0.7526)
Y (0.6663, 0.6663, 0.0010)
Er (0.2507, 0.2507, 0.2480)
Pm (0.5005, 0.5005, 0.4984)

Here is an optimized crystal structure of PmYEr from Alexandria. Energies are from PBE-GGA.

Output
Energy relative to the elements in eV/f.u.: 0.07
Relative energy among the computed polymorphs in meV/atom: 12.8
SG: I4mm, No. 107

Lattice parameters (Å, degrees): 3.5761 3.5761 8.0065 102.90 102.90 90.00
Positions (direct):
Pm (0.3321, 0.3321, 0.6642)
Er (0.6662, 0.6662, 0.3324)
Y (0.0017, 0.0017, 0.0034)

Going through the records in order, we get spin magnetization values of 0.0 0.0 μB/cell.